Record 1
The following is a DFT calculation (PBE) of a geometry-optimized BaCu2Mo structure.

abc: 5.427 5.427 5.427
angles: 133.55 133.55 67.79
Last column: magnetic moment on the atom in μB.
Element x y z (fractional)
Ba: 0.750 0.250 0.500  0.07
Cu: 0.250 0.750 0.500  0.05
Cu: 0.000 0.000 0.000  0.05
Mo: 0.500 0.500 0.000  2.27

Computed properties:
**Excess energy over the best structure of this formula in the dataset**: 0.576 eV/atom
**Formation energy**: 1.030 eV per atom
**Total magnetization**: 0.677 μB per atom
**Fermi-level density of states**: 0.74 states/eV per atom
**Space-group type**: I-4m2, No. 119

Record 2
The following is a DFT calculation (PBE) of a geometry-optimized Cr2TcPd structure.

abc: 3.647 3.818 3.818
angles: 90.00 90.00 90.00
Element x y z (fractional)
Tc: 0.500 0.500 0.500
Cr: 0.000 0.000 0.500
Cr: 0.000 0.500 0.000
Pd: 0.500 0.000 0.000

Computed properties:
**Formation energy**: 0.153 eV per atom
**Total magnetization**: 0.000 μB per atom
**Fermi-level density of states**: 0.92 states/eV per atom
**Space-group type**: P4/mmm, No. 123

Record 3
The following is a DFT calculation (PBE) of a geometry-optimized LiTl2SbCl6 structure.

abc: 7.268 7.268 7.650
angles: 118.38 118.38 90.00
Element x y z (fractional)
Cl: 0.237 0.720 0.957
Cl: 0.219 0.220 0.436
Cl: 0.720 0.720 0.958
Cl: 0.237 0.237 0.955
Cl: 0.745 0.744 0.491
Cl: 0.719 0.237 0.956
Li: 0.537 0.537 0.073
Sb: 0.994 0.994 0.987
Tl: 0.796 0.298 0.593
Tl: 0.297 0.796 0.593

Computed properties:
**Total magnetization**: 0.000 μB per atom
**Fermi-level density of states**: 0.00 states/eV per atom
**Space-group type**: P1, No. 1
**ΔE_f (raw)**: -1108 meV/atom

Record 4
The following is a DFT calculation (PBE) of a geometry-optimized KLiHg2Au structure.

abc: 5.450 5.450 5.056
angles: 90.00 90.00 90.00
Element x y z (fractional)
Hg: 0.000 0.500 0.000
Hg: 0.500 0.000 0.000
K: 0.500 0.500 0.500
Au: 0.000 0.000 0.000
Li: 0.000 0.000 0.500

Computed properties:
**Formation energy**: -0.205 eV per atom
**Total magnetization**: 0.000 μB per atom
**Fermi-level density of states**: 0.36 states/eV per atom
**Space-group type**: P4/mmm, No. 123

Record 5
The following is a DFT calculation (PBE) of a geometry-optimized CaAc2YSb4 structure.

abc: 4.670 7.893 8.124
angles: 70.12 90.00 90.00
Element x y z (fractional)
Sb: 0.500 0.271 0.738
Sb: 0.000 0.269 0.249
Sb: 0.000 0.731 0.751
Sb: 0.500 0.729 0.262
Ca: 0.500 0.500 0.000
Ac: 0.500 0.000 0.500
Ac: 0.000 0.000 0.000
Y: 0.000 0.500 0.500

Computed properties:
**Total magnetization**: 0.000 μB per atom
**Fermi-level density of states**: 0.71 states/eV per atom
**Space-group type**: P2/m, No. 10
**ΔE_f (raw)**: -1059 meV/atom

Record 6
The following is a DFT calculation (PBE) of a geometry-optimized Ac2Sm4Dy structure.

abc: 3.681 3.692 19.115
angles: 90.00 95.53 90.00
Element x y z (fractional)
Sm: 0.935 0.500 0.870
Sm: 0.065 0.500 0.130
Sm: 0.631 0.000 0.263
Sm: 0.369 0.000 0.737
Ac: 0.205 0.500 0.409
Ac: 0.795 0.500 0.591
Dy: 0.500 0.000 0.000

Computed properties:
**Formation energy**: 0.084 eV per atom
**Total magnetization**: 0.000 μB per atom
**Fermi-level density of states**: 1.60 states/eV per atom
**Space-group type**: Cmmm, No. 65

Record 7
The following is a DFT calculation (PBE) of a geometry-optimized SnTe5Pb4 structure.

abc: 19.077 19.077 19.077
angles: 13.87 13.87 13.87
Element x y z (fractional)
Te: 0.901 0.901 0.901
Te: 0.698 0.698 0.698
Te: 0.500 0.500 0.500
Te: 0.302 0.302 0.302
Te: 0.099 0.099 0.099
Pb: 0.800 0.800 0.800
Pb: 0.601 0.601 0.601
Pb: 0.200 0.200 0.200
Pb: 0.399 0.399 0.399
Sn: 0.000 0.000 0.000

Computed properties:
**Total magnetization**: 0.000 μB per atom
**Space-group type**: R-3m, No. 166
**ΔE_f (raw)**: -382 meV/atom

Record 8
The following is a DFT calculation (PBE) of a geometry-optimized CaTa2Mo structure.

abc: 5.694 5.694 2.732
angles: 90.00 90.00 118.26
Element x y z (fractional)
Ca: 0.500 0.000 0.500
Mo: 0.000 0.500 0.500
Ta: 0.500 0.500 0.000
Ta: 0.000 0.000 0.000

Computed properties:
**Formation energy**: 0.717 eV per atom
**Total magnetization**: 0.000 μB per atom
**Fermi-level density of states**: 1.06 states/eV per atom
**Space-group type**: Cmmm, No. 65

Record 9
The following is a DFT calculation (PBE) of a geometry-optimized Mg2MnSe structure.

abc: 8.159 8.159 8.159
angles: 25.59 25.59 25.59
Last column: magnetic moment on the atom in μB.
Element x y z (fractional)
Mg: 0.488 0.488 0.488  -0.02
Mg: 0.012 0.012 0.012  -0.02
Mn: 0.250 0.250 0.250  4.06
Se: 0.750 0.750 0.750  0.00

Computed properties:
**Total magnetization**: 1.045 μB per atom
**Fermi-level density of states**: 0.53 states/eV per atom
**Space-group type**: R-3m, No. 166
**ΔE_f (raw)**: -72 meV/atom

Record 10
The following is a DFT calculation (PBE) of a geometry-optimized Gd2CI structure.

abc: 3.810 3.810 14.982
angles: 90.00 90.00 120.00
Last column: magnetic moment on the atom in μB.
Element x y z (fractional)
C: 0.000 0.000 0.000  -0.10
C: 0.000 0.000 0.500  -0.10
I: 0.667 0.333 0.250  -0.01
I: 0.333 0.667 0.750  -0.01
Gd: 0.667 0.333 0.914  7.14
Gd: 0.333 0.667 0.086  7.14
Gd: 0.333 0.667 0.414  7.14
Gd: 0.667 0.333 0.586  7.14

Computed properties:
**Excess energy over the best structure of this formula in the dataset**: 0.000 eV/atom
**Total magnetization**: 3.647 μB per atom
**Fermi-level density of states**: 0.45 states/eV per atom
**Space-group type**: P6_3/mmc, No. 194
**ΔE_f (raw)**: -751 meV/atom

Record 11
The following is a DFT calculation (PBE) of a geometry-optimized TaSb2TeI structure.

abc: 5.462 5.462 5.296
angles: 90.00 90.00 90.00
Element x y z (fractional)
Sb: 0.000 0.500 0.000
Sb: 0.500 0.000 0.000
Ta: 0.000 0.000 0.000
I: 0.500 0.500 0.500
Te: 0.000 0.000 0.500

Computed properties:
**Excess energy over the best structure of this formula in the dataset**: 0.000 eV/atom
**Total magnetization**: 0.000 μB per atom
**Fermi-level density of states**: 0.70 states/eV per atom
**Space-group type**: P4/mmm, No. 123
**ΔE_f (raw)**: 221 meV/atom

Record 12
The following is a DFT calculation (PBE) of a geometry-optimized SmHo2N structure.

abc: 3.164 3.164 8.837
angles: 90.00 90.00 90.00
Element x y z (fractional)
Ho: 0.000 0.000 0.841
Ho: 0.000 0.000 0.159
N: 0.500 0.500 0.000
Sm: 0.500 0.500 0.500

Computed properties:
**Excess energy over the best structure of this formula in the dataset**: 0.603 eV/atom
**Total magnetization**: 0.000 μB per atom
**Fermi-level density of states**: 1.18 states/eV per atom
**Space-group type**: P4/mmm, No. 123
**ΔE_f (raw)**: -193 meV/atom

Record 13
The following is a DFT calculation (PBE) of a geometry-optimized TlSn2Hg7 structure.

abc: 3.229 10.142 10.579
angles: 118.64 90.00 90.00
Element x y z (fractional)
Hg: 0.500 0.334 0.213
Hg: 0.000 0.190 0.379
Hg: 0.500 0.666 0.787
Hg: 0.500 0.500 0.000
Hg: 0.000 0.810 0.621
Hg: 0.500 0.121 0.787
Hg: 0.500 0.879 0.213
Sn: 0.500 0.665 0.329
Sn: 0.500 0.335 0.671
Tl: 0.000 0.000 0.000

Computed properties:
**Formation energy**: 0.063 eV per atom
**Total magnetization**: 0.000 μB per atom
**Fermi-level density of states**: 0.31 states/eV per atom
**Space-group type**: Cmmm, No. 65

Record 14
The following is a DFT calculation (PBE) of a geometry-optimized LiPr4Y3S8 structure.

abc: 7.957 8.046 7.958
angles: 119.63 120.00 90.00
Element x y z (fractional)
Li: 0.000 0.500 0.000
Pr: 0.500 0.000 0.000
Pr: 0.000 0.000 0.000
Pr: 0.500 0.000 0.500
Pr: 0.000 0.000 0.500
S: 0.241 0.729 0.482
S: 0.759 0.271 0.011
S: 0.256 0.267 0.511
S: 0.252 0.271 0.011
S: 0.241 0.729 0.989
S: 0.744 0.733 0.489
S: 0.759 0.271 0.518
S: 0.748 0.729 0.989
Y: 0.500 0.500 0.000
Y: 0.000 0.500 0.500
Y: 0.500 0.500 0.500

Computed properties:
**Total magnetization**: 0.000 μB per atom
**Fermi-level density of states**: 0.52 states/eV per atom
**Space-group type**: R-3m, No. 166
**ΔE_f (raw)**: -1965 meV/atom

Record 15
The following is a DFT calculation (PBE) of a geometry-optimized TlHgRh2 structure.

abc: 5.851 5.851 5.851
angles: 149.84 132.59 57.22
Element x y z (fractional)
Hg: 0.763 0.263 0.500
Rh: 0.237 0.737 0.500
Rh: 0.017 0.017 0.000
Tl: 0.483 0.483 0.000

Computed properties:
**Formation energy**: 0.243 eV per atom
**Total magnetization**: 0.001 μB per atom
**Fermi-level density of states**: 1.04 states/eV per atom
**Space-group type**: Imm2, No. 44

Record 16
The following is a DFT calculation (PBE) of a geometry-optimized Pm3PdN structure.

abc: 4.907 4.907 4.907
angles: 90.00 90.00 90.00
Element x y z (fractional)
Pm: 0.000 0.000 0.500
Pm: 0.500 0.000 0.000
Pm: 0.000 0.500 0.000
Pd: 0.500 0.500 0.500
N: 0.000 0.000 0.000

Computed properties:
**Excess energy over the best structure of this formula in the dataset**: 0.075 eV/atom
**Total magnetization**: 0.000 μB per atom
**Fermi-level density of states**: 1.25 states/eV per atom
**Space-group type**: Pm-3m, No. 221
**ΔE_f (raw)**: -726 meV/atom

Record 17
The following is a DFT calculation (PBE) of a geometry-optimized CaNiIr2 structure.

abc: 8.977 8.977 8.977
angles: 18.42 18.42 18.42
Last column: magnetic moment on the atom in μB.
Element x y z (fractional)
Ca: 0.750 0.750 0.750  -0.02
Ni: 0.250 0.250 0.250  0.50
Ir: 0.509 0.509 0.509  0.25
Ir: 0.991 0.991 0.991  0.25

Computed properties:
**Excess energy over the best structure of this formula in the dataset**: 0.290 eV/atom
**Formation energy**: 0.307 eV per atom
**Total magnetization**: 0.238 μB per atom
**Fermi-level density of states**: 1.46 states/eV per atom
**Space-group type**: R-3m, No. 166

Record 18
The following is a DFT calculation (PBE) of a geometry-optimized Hf2AlCo3 structure.

abc: 5.067 5.067 7.647
angles: 90.00 90.00 120.00
Element x y z (fractional)
Co: 0.828 0.172 0.750
Co: 0.656 0.828 0.250
Co: 0.344 0.172 0.750
Co: 0.828 0.656 0.750
Co: 0.172 0.344 0.250
Co: 0.172 0.828 0.250
Al: 0.000 0.000 0.500
Al: 0.000 0.000 0.000
Hf: 0.667 0.333 0.060
Hf: 0.667 0.333 0.440
Hf: 0.333 0.667 0.940
Hf: 0.333 0.667 0.560

Computed properties:
**Formation energy**: -0.497 eV per atom
**Total magnetization**: 0.000 μB per atom
**Fermi-level density of states**: 0.60 states/eV per atom
**Space-group type**: P6_3/mmc, No. 194

Record 19
The following is a DFT calculation (PBE) of a geometry-optimized K2CaBe structure.

abc: 6.601 6.601 4.356
angles: 90.00 90.00 117.17
Element x y z (fractional)
Ca: 0.000 0.500 0.500
K: 0.500 0.500 0.000
K: 0.000 0.000 0.000
Be: 0.500 0.000 0.500

Computed properties:
**Formation energy**: 0.758 eV per atom
**Total magnetization**: 0.000 μB per atom
**Fermi-level density of states**: 0.87 states/eV per atom
**Space-group type**: Cmmm, No. 65

Record 20
The following is a DFT calculation (PBE) of a geometry-optimized MgBeSb4 structure.

abc: 6.186 6.186 6.186
angles: 60.00 60.00 60.00
Element x y z (fractional)
Mg: 0.000 0.000 0.000
Sb: 0.375 0.874 0.375
Sb: 0.375 0.375 0.375
Sb: 0.874 0.375 0.375
Sb: 0.375 0.375 0.874
Be: 0.750 0.750 0.750

Computed properties:
**Total magnetization**: 0.000 μB per atom
**Fermi-level density of states**: 0.47 states/eV per atom
**Space-group type**: F-43m, No. 216
**ΔE_f (raw)**: 616 meV/atom

Record 21
The following is a DFT calculation (PBE) of a geometry-optimized Cs4MoSe4 structure.

abc: 9.187 9.187 9.187
angles: 81.65 124.93 124.93
Last column: magnetic moment on the atom in μB.
Element x y z (fractional)
Cs: 0.500 0.000 0.500  0.00
Cs: 0.000 0.695 0.695  0.00
Cs: 0.000 0.305 0.305  0.00
Cs: 0.500 0.500 0.000  0.00
Se: 0.000 0.731 0.063  0.02
Se: 0.669 0.937 0.937  0.02
Se: 0.331 0.269 0.269  0.02
Se: 0.000 0.063 0.731  0.02
Mo: 0.000 0.000 0.000  1.40

Computed properties:
**Total magnetization**: 0.223 μB per atom
**Fermi-level density of states**: 0.02 states/eV per atom
**Space-group type**: I-42m, No. 121
**ΔE_f (raw)**: -852 meV/atom

Record 22
The following is a DFT calculation (PBE) of a geometry-optimized Sc3In6Cl14 structure.

abc: 6.941 11.283 11.283
angles: 120.00 90.00 90.00
Last column: magnetic moment on the atom in μB.
Element x y z (fractional)
In: 0.798 0.010 0.457  0.01
In: 0.270 0.913 0.697  0.01
In: 0.270 0.784 0.087  0.01
In: 0.798 0.543 0.553  0.01
In: 0.798 0.447 0.990  0.01
In: 0.270 0.303 0.216  0.01
Cl: 0.958 0.779 0.848  0.00
Cl: 0.236 0.591 0.471  0.00
Cl: 0.958 0.152 0.932  0.00
Cl: 0.489 0.243 0.443  0.00
Cl: 0.656 0.454 0.251  0.00
Cl: 0.489 0.200 0.757  0.00
Cl: 0.236 0.529 0.120  0.00
Cl: 0.656 0.797 0.546  0.00
Cl: 0.656 0.749 0.203  0.00
Cl: 0.236 0.880 0.409  0.00
Cl: 0.482 0.000 0.000  0.00
Cl: 0.489 0.557 0.800  0.00
Cl: 0.017 0.333 0.667  0.00
Cl: 0.958 0.068 0.221  0.00
Sc: 0.359 0.333 0.667  0.21
Sc: 0.439 0.667 0.333  0.35
Sc: 0.826 0.000 0.000  0.26

Computed properties:
**Total magnetization**: 0.051 μB per atom
**Fermi-level density of states**: 0.48 states/eV per atom
**Space-group type**: P3, No. 143
**ΔE_f (raw)**: -1376 meV/atom

Record 23
The following is a DFT calculation (PBE) of a geometry-optimized PrHo2Ga4 structure.

abc: 4.166 4.329 9.617
angles: 103.01 102.51 90.00
Element x y z (fractional)
Ga: 0.068 0.568 0.136
Ga: 0.932 0.432 0.864
Ga: 0.351 0.351 0.703
Ga: 0.649 0.649 0.297
Ho: 0.815 0.815 0.630
Ho: 0.185 0.185 0.370
Pr: 0.500 0.000 0.000

Computed properties:
**Formation energy**: -0.652 eV per atom
**Total magnetization**: 0.000 μB per atom
**Fermi-level density of states**: 0.63 states/eV per atom
**Space-group type**: Immm, No. 71

Record 24
The following is a DFT calculation (PBE) of a geometry-optimized La5Ag2Pt structure.

abc: 5.073 7.593 12.552
angles: 90.00 90.00 90.00
Element x y z (fractional)
Ag: 0.500 0.088 0.336
Ag: 0.500 0.912 0.664
Ag: 0.500 0.588 0.164
Ag: 0.500 0.412 0.836
La: 0.000 0.645 0.709
La: 0.000 0.000 0.500
La: 0.500 0.813 0.920
La: 0.000 0.355 0.291
La: 0.000 0.500 0.000
La: 0.000 0.145 0.791
La: 0.500 0.187 0.080
La: 0.500 0.313 0.580
La: 0.500 0.687 0.420
La: 0.000 0.855 0.209
Pt: 0.000 0.000 0.000
Pt: 0.000 0.500 0.500

Computed properties:
**Formation energy**: -0.413 eV per atom
**Total magnetization**: 0.000 μB per atom
**Fermi-level density of states**: 1.24 states/eV per atom
**Space-group type**: Pbam, No. 55